No. 1
GGA-PBE LiZnBO3, relaxed; space group = Cc; formation energy from raw total energies = -2.062 eV/atom
1.0
5.128 -0.010 -0.008
2.589 4.426 -0.008
2.557 1.463 5.436
Li Zn B O
2 2 2 6
direct
0.947 0.772 0.671
0.772 0.947 0.171
0.280 0.106 0.671
0.106 0.280 0.171
0.411 0.591 0.255
0.591 0.411 0.755
0.131 0.853 0.275
0.853 0.131 0.775
0.688 0.601 0.217
0.398 0.304 0.295
0.304 0.398 0.795
0.601 0.688 0.717

***

No. 2
GGA-PBE LiZnBO3, relaxed; space group = C2/c; formation energy from raw total energies = -2.074 eV/atom
1.0
-2.620 -0.066 -4.340
-2.782 -8.220 1.805
-8.799 4.216 5.644
Li Zn B O
8 8 8 24
direct
0.678 0.010 0.166
0.336 0.990 0.830
0.336 0.010 0.330
0.836 0.511 0.330
0.836 0.490 0.830
0.177 0.511 0.166
0.178 0.490 0.666
0.677 0.991 0.666
0.859 0.159 0.899
0.155 0.159 0.597
0.655 0.342 0.098
0.359 0.342 0.398
0.655 0.659 0.598
0.859 0.842 0.399
0.359 0.659 0.898
0.155 0.842 0.098
0.849 0.171 0.372
0.165 0.171 0.124
0.665 0.330 0.624
0.349 0.330 0.872
0.665 0.671 0.124
0.849 0.830 0.872
0.349 0.671 0.372
0.165 0.830 0.624
0.717 0.037 0.347
0.895 0.164 0.089
0.297 0.037 0.149
0.788 0.193 0.637
0.726 0.308 0.358
0.226 0.193 0.859
0.119 0.164 0.407
0.619 0.337 0.907
0.797 0.464 0.649
0.288 0.307 0.138
0.395 0.337 0.588
0.797 0.537 0.149
0.217 0.464 0.847
0.726 0.693 0.858
0.619 0.664 0.407
0.217 0.537 0.347
0.395 0.664 0.088
0.788 0.807 0.137
0.895 0.837 0.589
0.288 0.694 0.637
0.226 0.808 0.359
0.717 0.964 0.847
0.119 0.837 0.907
0.297 0.964 0.649

***

No. 3
GGA-PBE LiZnBO3, relaxed; space group = P1; formation energy from raw total energies = -2.033 eV/atom
1.0
-4.906 -0.642 0.853
3.232 -3.832 0.686
1.411 3.162 11.351
Li Zn B O
4 4 4 12
direct
0.624 0.616 0.529
0.617 0.605 0.718
0.353 0.371 0.304
0.377 0.397 0.951
0.012 0.677 0.336
0.308 0.974 0.114
0.967 0.286 0.584
0.719 0.047 0.916
0.989 0.325 0.132
0.296 0.952 0.616
0.678 0.020 0.371
0.036 0.706 0.891
0.978 0.580 0.169
0.558 0.922 0.621
0.667 0.741 0.375
0.757 0.694 0.872
0.954 0.286 0.401
0.291 0.979 0.926
0.732 0.075 0.089
0.004 0.691 0.610
0.266 0.330 0.137
0.327 0.242 0.617
0.424 0.040 0.343
0.062 0.450 0.878

***

Calculated magnetization (μB per formula unit), listed in the same order as above: 0.00; 0.00; 0.00
Calculated energy (eV per atom), listed in the same order as above: -6.185; -6.198; -6.156
Calculated energy above the lowest structure with this stoichiometry (eV/atom), listed in the same order as above: 0.0126; 0.0000; 0.0416